#A
## MnH3I (PBE)

Data for a relaxed structure of MnH3I.

magnetic moment = 5.04 μB per cell
DOS(E_F) = 0.378 states/eV per atom

a b c (Å): 4.198 4.198 4.198
angles (deg): 90.00 90.00 90.00
Space group Pm-3m (No. 221)
One atom of each set of equivalent atoms:
Mn 0.000 0.000 0.000 x1
H 0.000 0.500 0.500 x3
I 0.500 0.500 0.500 x1

#B
## MnH3I (PBE)

Data for a relaxed structure of MnH3I.

magnetic moment = 3.12 μB per cell
DOS(E_F) = 0.437 states/eV per atom

a b c (Å): 3.834 3.834 3.834
angles (deg): 90.00 90.00 90.00
Space group Pm-3m (No. 221)
One atom of each set of equivalent atoms:
Mn 0.000 0.000 0.000 x1
H 0.000 0.000 0.500 x3
I 0.500 0.500 0.500 x1

The data favor #B; the next most stable structure lies 677 meV per atom above it.

#A
## MnHI3 (PBE)

Data for a relaxed structure of MnHI3.

magnetic moment = 1.14 μB per cell
DOS(E_F) = 4.058 states/eV per atom

a b c (Å): 5.373 5.373 5.373
angles (deg): 90.00 90.00 90.00
Space group Pm-3m (No. 221)
One atom of each set of equivalent atoms:
Mn 0.000 0.000 0.000 x1
H 0.500 0.500 0.500 x1
I 0.000 0.000 0.500 x3

#B
## MnHI3 (PBE)

Data for a relaxed structure of MnHI3.

magnetic moment = 5.01 μB per cell
DOS(E_F) = 0.893 states/eV per atom

a b c (Å): 5.145 5.145 5.145
angles (deg): 90.00 90.00 90.00
Space group Pm-3m (No. 221)
One atom of each set of equivalent atoms:
Mn 0.000 0.000 0.000 x1
H 0.500 0.500 0.500 x1
I 0.000 0.500 0.500 x3

The data favor #A; the next most stable structure lies 18 meV per atom above it.

#A
## Mn3HI (PBE)

Data for a relaxed structure of Mn3HI.

magnetic moment = 10.17 μB per cell
DOS(E_F) = 0.944 states/eV per atom

a b c (Å): 4.059 4.059 4.059
angles (deg): 90.00 90.00 90.00
Space group Pm-3m (No. 221)
One atom of each set of equivalent atoms:
Mn 0.000 0.000 0.500 x3
H 0.000 0.000 0.000 x1
I 0.500 0.500 0.500 x1

#B
## Mn3HI (PBE)

Data for a relaxed structure of Mn3HI.

magnetic moment = 11.00 μB per cell
DOS(E_F) = 0.498 states/eV per atom

a b c (Å): 4.961 4.961 4.961
angles (deg): 90.00 90.00 90.00
Space group Pm-3m (No. 221)
One atom of each set of equivalent atoms:
Mn 0.000 0.000 0.500 x3
H 0.500 0.500 0.500 x1
I 0.000 0.000 0.000 x1

The data favor #A; the next most stable structure lies 1259 meV per atom above it.

#A
## MnHI2N (PBE)

Data for a relaxed structure of MnHI2N.

magnetic moment = 6.81 μB per cell
DOS(E_F) = 0.460 states/eV per atom

a b c (Å): 6.357 6.357 2.875
angles (deg): 90.00 90.00 90.00
Space group P4/mmm (No. 123)
One atom of each set of equivalent atoms:
Mn 0.000 0.000 0.000 x1
H 0.500 0.500 0.500 x1
I 0.000 0.500 0.500 x2
N 0.500 0.500 0.000 x1

#B
## MnHI2N (PBE)

Data for a relaxed structure of MnHI2N.

magnetic moment = 3.00 μB per cell
DOS(E_F) = 0.190 states/eV per atom

a b c (Å): 5.607 5.607 3.531
angles (deg): 90.00 90.00 90.00
Space group P4/mmm (No. 123)
One atom of each set of equivalent atoms:
Mn 0.000 0.000 0.000 x1
H 0.500 0.500 0.500 x1
I 0.000 0.500 0.000 x2
N 0.000 0.000 0.500 x1

The data favor #B; the next most stable structure lies 556 meV per atom above it.

#A
## MnHIN2 (PBE)

Data for a relaxed structure of MnHIN2.

magnetic moment = 0.14 μB per cell
DOS(E_F) = 1.032 states/eV per atom

a b c (Å): 3.544 3.544 5.664
angles (deg): 90.00 90.00 90.00
Space group P4/mmm (No. 123)
One atom of each set of equivalent atoms:
Mn 0.000 0.000 0.000 x1
H 0.500 0.500 0.500 x1
I 0.000 0.000 0.500 x1
N 0.000 0.500 0.000 x2

#B
## MnHIN2 (PBE)

Data for a relaxed structure of MnHIN2.

magnetic moment = 0.36 μB per cell
DOS(E_F) = 1.435 states/eV per atom

a b c (Å): 3.929 3.929 3.467
angles (deg): 90.00 90.00 90.00
Space group P4/mmm (No. 123)
One atom of each set of equivalent atoms:
Mn 0.000 0.000 0.000 x1
H 0.500 0.500 0.500 x1
I 0.500 0.500 0.000 x1
N 0.000 0.500 0.500 x2

The data favor #A; the next most stable structure lies 1499 meV per atom above it.

#A
## MnTeHI2 (PBE)

Data for a relaxed structure of MnTeHI2.

magnetic moment = 4.60 μB per cell
DOS(E_F) = 0.846 states/eV per atom

a b c (Å): 5.739 5.739 3.895
angles (deg): 90.00 90.00 90.00
Space group P4/mmm (No. 123)
One atom of each set of equivalent atoms:
Mn 0.000 0.000 0.000 x1
Te 0.500 0.500 0.000 x1
H 0.500 0.500 0.500 x1
I 0.000 0.500 0.500 x2

#B
## MnTeHI2 (PBE)

Data for a relaxed structure of MnTeHI2.

magnetic moment = 4.27 μB per cell
DOS(E_F) = 0.715 states/eV per atom

a b c (Å): 5.655 5.655 5.223
angles (deg): 90.00 90.00 90.00
Space group P4/mmm (No. 123)
One atom of each set of equivalent atoms:
Mn 0.000 0.000 0.000 x1
Te 0.000 0.000 0.500 x1
H 0.500 0.500 0.500 x1
I 0.000 0.500 0.000 x2

The data favor #B; the next most stable structure lies 102 meV per atom above it.